1.
A geometry-optimized K7Au5 structure, computed with PBE.

Summary:
Crystal system ... monoclinic
Density ... 4.7 g/cm3
SG ... Cm
ΔH_f (0 K) ... -0.238 eV/atom

```
data_K7Au5
_chemical_formula_sum 'K7 Au5'
_cell_length_a 7.705
_cell_length_b 8.521
_cell_length_c 8.521
_cell_angle_alpha 78.41
_cell_angle_beta 63.35
_cell_angle_gamma 63.35
_symmetry_space_group_name_H-M 'P 1'
_symmetry_Int_Tables_number 1
_symmetry_space_group_name_Hall 'P 1'
loop_
_atom_site_label
_atom_site_fract_x
_atom_site_fract_y
_atom_site_fract_z
K1 0.315 0.001 0.420
K2 0.734 0.580 0.001
K3 0.315 0.420 0.001
K4 0.734 0.001 0.580
K5 0.418 0.500 0.500
K6 0.904 0.998 0.998
K7 0.918 0.500 0.500
Au1 0.425 0.767 0.767
Au2 0.190 0.233 0.769
Au3 0.190 0.769 0.233
Au4 0.959 0.231 0.231
Au5 0.385 0.000 0.000
```



2.
A geometry-optimized Si4Te3 structure, computed with PBE.

Summary:
Crystal system ... cubic
Density ... 4.9 g/cm3
ΔE to the lowest computed polymorph ... 81 meV/atom
SG ... P-43m
Raw formation energy ... 325.9 meV/atom

```
data_Si4Te3
_chemical_formula_sum 'Si4 Te3'
_cell_length_a 5.525
_cell_length_b 5.525
_cell_length_c 5.525
_cell_angle_alpha 90.00
_cell_angle_beta 90.00
_cell_angle_gamma 90.00
_symmetry_space_group_name_H-M 'P 1'
_symmetry_Int_Tables_number 1
_symmetry_space_group_name_Hall 'P 1'
loop_
_atom_site_label
_atom_site_fract_x
_atom_site_fract_y
_atom_site_fract_z
Si1 0.167 0.833 0.167
Si2 0.833 0.167 0.167
Si3 0.833 0.833 0.833
Si4 0.167 0.167 0.833
Te1 0.500 0.000 0.500
Te2 0.500 0.500 0.000
Te3 0.000 0.500 0.500
```



Q: Look up the density of the first one.
A: 4.7 g/cm3



Q: The lowest density belongs to which entry?
A: K7Au5



Please write out number 1 again, unchanged.
A geometry-optimized K7Au5 structure, computed with PBE.

Summary:
Crystal system ... monoclinic
Density ... 4.7 g/cm3
SG ... Cm
ΔH_f (0 K) ... -0.238 eV/atom

```
data_K7Au5
_chemical_formula_sum 'K7 Au5'
_cell_length_a 7.705
_cell_length_b 8.521
_cell_length_c 8.521
_cell_angle_alpha 78.41
_cell_angle_beta 63.35
_cell_angle_gamma 63.35
_symmetry_space_group_name_H-M 'P 1'
_symmetry_Int_Tables_number 1
_symmetry_space_group_name_Hall 'P 1'
loop_
_atom_site_label
_atom_site_fract_x
_atom_site_fract_y
_atom_site_fract_z
K1 0.315 0.001 0.420
K2 0.734 0.580 0.001
K3 0.315 0.420 0.001
K4 0.734 0.001 0.580
K5 0.418 0.500 0.500
K6 0.904 0.998 0.998
K7 0.918 0.500 0.500
Au1 0.425 0.767 0.767
Au2 0.190 0.233 0.769
Au3 0.190 0.769 0.233
Au4 0.959 0.231 0.231
Au5 0.385 0.000 0.000
```